An optimized crystal structure of TaSiB2I. Source: the Alexandria database, functional PBE-GGA.

```
5
Lattice="4.282 0.000 0.000 0.000 4.282 0.000 0.000 0.000 5.111" Properties=species:S:1:pos:R:3 pbc="T T T"
Ta 0.000 0.000 0.000
Si 2.141 2.141 0.000
B 0.000 2.141 2.555
B 2.141 0.000 2.555
I 2.141 2.141 2.555
```

Computed properties:
- VASP energy: -3.863 eV per atom
- Calculated volume: 93.7 Å³/cell
- ΔE_f (raw): 2.573 eV/atom
- E above lowest polymorph: 781 meV per atom